Computed, not measured: an optimized crystal structure of GaPb2Cl at the PBE-GGA level of DFT.

Summary:
Its calculated volume is 105 Å³/f.u. As for the energy above the most stable polymorph in this dataset: 0.0000 eV per atom. The raw total energy is -3.315 eV per atom. The calculation puts the uncorrected formation energy at -0.24 eV/atom.

Cell lengths 3.5230, 3.5230, 8.4649 Å; angles 90.00, 90.00, 90.00 degrees
With the nearest neighbours (Å) after each atom.
Space group P4/mmm (No. 123)
Inequivalent atoms, fractional coordinates:
Ga (0.0000, 0.0000, 0.0000)  8 Pb 3.20, 4 Ga 3.52
Pb (0.5000, 0.5000, 0.2379)  4 Ga 3.20, 4 Cl 3.34, 4 Pb 3.52
Cl (0.0000, 0.0000, 0.5000)  8 Pb 3.34, 4 Cl 3.52